The following is a DFT calculation (meta-GGA SCAN) of Al2CoMo at its PBEsol-relaxed geometry.

a = 2.959 Å, b = 2.959 Å, c = 6.120 Å
α = 90.00°, β = 90.00°, γ = 90.00°
Space group P4mm (No. 99)
Symmetry-distinct sites (fractional):
Al1 0.000 0.000 0.000 x1
Al2 0.500 0.500 0.282 x1
Co1 0.000 0.000 0.477 x1
Mo1 0.500 0.500 0.734 x1

Results
The relative energy among the computed polymorphs comes out at 0.00 eV per formula unit. The uncorrected energy comes out at -17.115 eV per atom.